[1]
Mg2ScBeH | Alexandria via LeMat-Bulk | PBEsol | optimized geometry; total moment = 0.0 μB per formula unit; SG = P4/mmm (123); total DFT energy (no corrections) = -13.0 eV per cell
1.0
5.590 0.000 0.000
0.000 5.590 0.000
0.000 0.000 3.400
Mg Sc Be H
2 1 1 1
direct
0.000 0.500 0.000
0.500 0.000 0.000
0.000 0.000 0.000
0.500 0.500 0.500
0.000 0.000 0.500

---

[2]
ScNiIN2 | Alexandria via LeMat-Bulk | PBEsol | optimized geometry; total moment = 1.1 μB per formula unit; SG = P4/mmm (123); energy relative to the elements, uncorrected = 0.967 eV per atom
1.0
3.918 0.000 0.000
0.000 3.918 0.000
0.000 0.000 6.035
Sc Ni I N
1 1 1 2
direct
0.000 0.000 0.000
0.000 0.000 0.500
0.500 0.500 0.500
0.000 0.500 0.000
0.500 0.000 0.000

---

[3]
Ba2ScTa | Alexandria via LeMat-Bulk | PBEsol | optimized geometry; total moment = 0.0 μB per formula unit; SG = Cmmm (65); calculated formation energy = 0.99 eV per atom
1.0
3.319 -5.411 0.000
3.319 5.411 0.000
0.000 0.000 3.274
Ba Sc Ta
2 1 1
direct
0.000 0.500 0.000
0.500 0.000 0.000
0.000 0.000 0.500
0.500 0.500 0.500

---

[4]
CsHgS2 | Alexandria via LeMat-Bulk | PBEsol | optimized geometry; total moment = 0.0 μB per formula unit; SG = R-3m (166); energy relative to the elements, uncorrected = -0.013 eV per atom
1.0
1.988 1.148 9.007
-1.988 1.148 9.007
0.000 -2.295 9.007
Cs Hg S
1 1 2
direct
0.000 0.000 0.000
0.500 0.500 0.500
0.116 0.116 0.116
0.884 0.884 0.884

---

[5]
LaCoCl | Alexandria via LeMat-Bulk | PBEsol | optimized geometry; total moment = 1.0 μB per formula unit; SG = P3m1 (156); energy relative to the elements, uncorrected = -0.187 eV per atom
1.0
3.805 0.000 0.000
-1.903 3.295 0.000
0.000 0.000 6.048
La Co Cl
1 1 1
direct
0.000 0.000 0.000
0.333 0.667 0.282
0.667 0.333 0.677

---

[6]
Cs2CaH4 | Alexandria via LeMat-Bulk | PBEsol | optimized geometry; total moment = 0.0 μB per formula unit; SG = I4/mmm (139); total DFT energy (no corrections) = -19.7 eV per cell
1.0
-2.250 2.250 7.544
2.250 -2.250 7.544
2.250 2.250 -7.544
Cs Ca H
2 1 4
direct
0.148 0.148 0.000
0.852 0.852 0.000
0.500 0.500 0.000
0.000 0.500 0.500
0.349 0.349 0.000
0.500 0.000 0.500
0.651 0.651 0.000

---

[7]
Cs3Y2Br9 | Alexandria via LeMat-Bulk | PBEsol | optimized geometry; total moment = 0.0 μB per formula unit; SG = R-3c (167); energy relative to the elements, uncorrected = -1.893 eV per atom
1.0
6.738 3.890 6.400
-6.738 3.890 6.400
0.000 -7.780 6.400
Cs Y Br
6 4 18
direct
0.088 0.750 0.412
0.250 0.588 0.912
0.412 0.088 0.750
0.588 0.912 0.250
0.750 0.412 0.088
0.912 0.250 0.588
0.150 0.150 0.150
0.350 0.350 0.350
0.650 0.650 0.650
0.850 0.850 0.850
0.079 0.267 0.912
0.088 0.921 0.733
0.092 0.408 0.250
0.233 0.421 0.588
0.250 0.092 0.408
0.267 0.912 0.079
0.408 0.250 0.092
0.412 0.767 0.579
0.421 0.588 0.233
0.579 0.412 0.767
0.588 0.233 0.421
0.592 0.750 0.908
0.733 0.088 0.921
0.750 0.908 0.592
0.767 0.579 0.412
0.908 0.592 0.750
0.912 0.079 0.267
0.921 0.733 0.088

---

[8]
RbBa2Cl2 | Alexandria via LeMat-Bulk | PBEsol | optimized geometry; total moment = 0.2 μB per formula unit; SG = I4/mmm (139); energy relative to the elements, uncorrected = -1.368 eV per atom
1.0
-2.789 2.789 7.523
2.789 -2.789 7.523
2.789 2.789 -7.523
Rb Ba Cl
1 2 2
direct
0.000 0.000 0.000
0.345 0.345 0.000
0.655 0.655 0.000
0.250 0.750 0.500
0.750 0.250 0.500

---

[9]
TaAlTeI2 | Alexandria via LeMat-Bulk | PBEsol | optimized geometry; total moment = 0.0 μB per formula unit; SG = P4/mmm (123); energy relative to the elements, uncorrected = 0.369 eV per atom
1.0
5.507 0.000 0.000
0.000 5.507 0.000
0.000 0.000 5.354
Ta Al Te I
1 1 1 2
direct
0.000 0.000 0.000
0.500 0.500 0.500
0.000 0.000 0.500
0.000 0.500 0.000
0.500 0.000 0.000

---

[10]
La2RuBr | Alexandria via LeMat-Bulk | PBEsol | optimized geometry; total moment = 0.0 μB per formula unit; SG = R-3m (166); excess energy over the best structure of this formula in the dataset = 0 meV/atom; energy relative to the elements, uncorrected = -0.844 eV per atom
1.0
2.046 1.181 7.730
-2.046 1.181 7.730
0.000 -2.363 7.730
La Ru Br
2 1 1
direct
0.232 0.232 0.232
0.768 0.768 0.768
0.500 0.500 0.500
0.000 0.000 0.000

---

[11]
V6O7F5 | Alexandria via LeMat-Bulk | PBEsol | optimized geometry; total moment = 11.0 μB per formula unit; SG = Cm (8); excess energy over the best structure of this formula in the dataset = 21 meV/atom; energy relative to the elements, uncorrected = -2.491 eV per atom
1.0
4.419 -3.229 0.000
4.419 3.229 0.000
-2.851 0.000 6.600
V O F
6 7 5
direct
0.000 0.000 0.000
0.005 0.005 0.495
0.307 0.307 0.315
0.343 0.343 0.834
0.648 0.648 0.188
0.702 0.702 0.677
0.047 0.640 0.836
0.236 0.236 0.539
0.363 0.956 0.168
0.429 0.429 0.143
0.640 0.047 0.836
0.776 0.776 0.469
0.956 0.363 0.168
0.106 0.106 0.801
0.314 0.696 0.504
0.578 0.578 0.869
0.696 0.314 0.504
0.892 0.892 0.194

---

[12]
Ta2CuNi | Alexandria via LeMat-Bulk | PBEsol | optimized geometry; total moment = 0.1 μB per formula unit; SG = F-43m (216); calculated formation energy = 0.34 eV per atom
1.0
0.000 3.076 3.076
3.076 0.000 3.076
3.076 3.076 0.000
Ta Cu Ni
2 1 1
direct
0.000 0.000 0.000
0.250 0.250 0.250
0.750 0.750 0.750
0.500 0.500 0.500